This record from the Open Quantum Materials Database describes crystalline Ho2ErAl7Ag2 at its relaxed geometry. The functional is PBE.

The calculated total energy comes out at -152.643 eV per cell.

It has space group R-3m (No. 166, hexagonal axes), with a = 5.5254 Å, b = 5.5254 Å, c = 26.2516 Å, α = 90.00°, β = 90.00° and γ = 120.00°. Symmetry generates all atoms from Ho at (0.0000, 0.0000, 0.1424), Er at (0.0000, 0.0000, 0.0000), Al at (0.0000, 0.0000, 0.5000), Al at (0.0080, 0.5040, 0.9160) and Ag at (0.0000, 0.0000, 0.3358).